Record 1
A plane-wave DFT calculation with PBE was carried out for an optimized crystal structure of PmGdSe.

Geometry as POSCAR:
```
PmGdSe
1.0
3.9509 0.0000 0.0000
-1.9754 3.4216 0.0000
0.0000 0.0000 6.6349
Se Pm Gd
1 1 1
direct
0.6667 0.3333 0.3376
0.0000 0.0000 0.0524
0.3333 0.6667 0.6100
```

Properties
N(E_F), states/eV/cell: 3.10
Formation energy (no corrections), eV per atom: -1.142
Electronic total energy, eV per cell: -25.741

---

Record 2
A plane-wave DFT calculation with PBE was carried out for an optimized crystal structure of PmGdSe2.

Geometry as POSCAR:
```
PmGdSe2
1.0
4.1651 0.0000 0.0000
2.0825 3.6071 0.0000
2.0825 1.2024 6.7910
Se Pm Gd
2 1 1
direct
0.7523 0.7523 0.7430
0.2477 0.2477 0.2570
0.0000 0.0000 0.0000
0.5000 0.5000 0.5000
```

Properties
Distance to the lowest polymorph of the same formula, meV/atom: 0.0
N(E_F), states/eV/cell: 2.03
Formation energy (no corrections), eV per atom: -1.853
Electronic total energy, eV per cell: -33.213

---

Record 3
A plane-wave DFT calculation with PBE was carried out for an optimized crystal structure of PmGd2Si.

Geometry as POSCAR:
```
PmGd2Si
1.0
-3.9366 0.5067 2.5043
2.1319 -1.8854 3.7327
1.4091 4.2687 1.3513
Gd Si Pm
2 1 1
direct
0.0000 0.5000 0.0000
0.0000 0.0000 0.5000
0.5000 0.0000 0.0000
0.5000 0.5000 0.5000
```

Properties
Distance to the lowest polymorph of the same formula, meV/atom: 0.0
N(E_F), states/eV/cell: 4.35
Formation energy (no corrections), eV per atom: -0.275
Electronic total energy, eV per cell: -39.437

---

Record 4
A plane-wave DFT calculation with PBE was carried out for an optimized crystal structure of PmGd2Si.

Geometry as POSCAR:
```
PmGd2Si
1.0
3.8052 0.0000 0.0000
0.0000 3.8052 0.0000
0.0000 0.0000 7.5621
Pm Gd Si
1 2 1
direct
0.5000 0.5000 0.0000
0.0000 0.0000 0.3054
0.0000 0.0000 0.6946
0.5000 0.5000 0.5000
```

Properties
Distance to the lowest polymorph of the same formula, meV/atom: 18.5
N(E_F), states/eV/cell: 6.29
Formation energy (no corrections), eV per atom: -0.257
Electronic total energy, eV per cell: -39.363